A plane-wave DFT calculation with GGA-PBE was carried out for an optimized crystal structure of SrCd2Pt2.

Properties
Symmetry   I4/mmm, No. 139
Energy of formation   -0.578 eV/atom
VASP energy   -3.70 eV per atom
N(E_F)   1.85 states/eV per cell
M_tot   0.000 μB/f.u.

Cell and atoms, written as POSCAR:
```
SrCd2Pt2
1.0
-2.174 3.738 -0.415
-1.296 -1.195 -3.971
-6.743 -1.371 0.237
Sr Pt Cd
1 2 2
direct
0.000 0.000 0.000
0.395 0.395 0.210
0.605 0.605 0.790
0.750 0.250 0.500
0.250 0.750 0.500
```